DFT (PBE) results for crystalline HoAl3Ge3 at its relaxed geometry.

```
14
Lattice="4.022 0.000 0.000 0.000 8.718 -5.029 0.000 -0.003 10.065" Properties=species:S:1:pos:R:3 pbc="T T T"
Al 3.017 8.270 -1.116
Al 1.006 0.445 6.152
Al 3.017 5.550 2.691
Al 1.006 5.102 6.604
Al 3.017 3.612 -1.568
Al 1.006 3.164 2.345
Ge 3.017 7.728 1.443
Ge 1.006 0.987 3.592
Ge 1.006 2.614 7.414
Ge 3.017 6.100 -2.378
Ge 3.017 3.605 0.942
Ge 1.006 5.110 4.094
Ho 3.017 2.904 5.033
Ho 1.006 5.811 0.002
```

Output
As for the space group: P6_3/m, No. 176. The volume comes out at 353 Å³ per cell.

=====

DFT (PBE) results for crystalline Ho4AlGe at its relaxed geometry.

```
12
Lattice="-0.018 -0.683 6.955 4.847 -5.011 -0.482 2.632 7.682 -2.749" Properties=species:S:1:pos:R:3 pbc="T T T"
Ho 1.207 -1.246 -0.120
Ho 6.253 3.233 3.844
Ho 1.303 3.328 3.850
Ho 3.632 -4.104 3.116
Ho 3.828 6.092 0.609
Ho 3.725 0.821 3.609
Ho 3.736 1.166 0.116
Ho 6.158 -1.341 -0.125
Ge 6.212 1.291 -1.614
Ge 1.248 0.696 5.338
Al 3.681 -1.468 1.620
Al 3.780 3.455 2.105
```

Output
As for the space group: I4_1/amd, No. 141. The volume comes out at 342 Å³ per cell.

=====

DFT (PBE) results for crystalline Ho6AlGe2 at its relaxed geometry.

```
18
Lattice="-4.913 6.571 -2.062 -4.348 -5.770 4.401 6.422 2.342 4.984" Properties=species:S:1:pos:R:3 pbc="T T T"
Ge 1.535 3.166 4.995
Ge 0.990 5.852 1.918
Ge 0.518 3.061 1.003
Ge -4.375 -0.023 2.328
Ho -6.470 2.182 2.226
Ho -4.687 3.960 -0.273
Ho -1.520 5.218 0.313
Ho 1.847 -0.816 7.596
Ho -2.250 1.817 1.161
Ho -2.040 -0.883 3.748
Ho -0.589 1.326 6.162
Ho 0.818 0.886 2.936
Ho 3.630 0.961 5.097
Ho -1.320 -2.075 7.009
Ho -0.800 4.026 3.575
Ho -3.657 2.258 4.387
Al 0.000 0.000 0.000
Al 1.037 -1.714 4.693
```

Output
As for the space group: Immm, No. 71. The volume comes out at 465 Å³ per cell.

=====

DFT (PBE) results for crystalline HoAlGe2 at its relaxed geometry.

```
8
Lattice="3.989 0.000 -0.811 -0.165 3.985 -0.811 -0.048 -0.050 9.984" Properties=species:S:1:pos:R:3 pbc="T T T"
Ho 0.425 0.443 2.090
Ho 3.352 3.493 6.272
Ge -0.082 1.993 -0.405
Ge 2.498 2.603 2.070
Ge 1.994 0.000 -0.405
Ge 1.279 1.333 6.292
Al 0.850 2.964 4.181
Al 2.927 0.972 4.181
```

Output
As for the space group: I4/mmm, No. 139. The volume comes out at 158 Å³ per cell.

=====

DFT (PBE) results for crystalline HoAlGeIr2 at its relaxed geometry.

```
10
Lattice="4.241 0.000 0.000 -2.120 6.555 0.000 0.000 0.000 6.926" Properties=species:S:1:pos:R:3 pbc="T T T"
Ir 2.120 4.224 0.268
Ir 0.000 2.331 6.658
Ir 0.000 2.331 3.731
Ir 2.120 4.224 3.195
Ge 0.000 0.000 3.463
Ge 0.000 0.000 0.000
Al 0.000 4.000 1.732
Al 2.120 2.555 5.195
Ho 0.000 4.966 5.195
Ho 2.120 1.589 1.732
```

Output
As for the space group: Cmcm, No. 63. The volume comes out at 193 Å³ per cell.

=====

DFT (PBE) results for crystalline LaHoAl2Ge at its relaxed geometry.

```
5
Lattice="4.388 0.000 0.000 0.000 4.488 0.000 -2.194 -2.244 6.166" Properties=species:S:1:pos:R:3 pbc="T T T"
Al 2.194 0.000 2.240
Al 0.000 0.000 0.590
Ho 0.000 2.244 2.442
La 0.000 0.000 5.447
Ge 2.194 2.244 4.230
```

Output
As for the space group: Imm2, No. 44. The volume comes out at 121 Å³ per cell.

=====

DFT (PBE) results for crystalline LaHoAlGe at its relaxed geometry.

```
4
Lattice="-1.978 2.443 -3.229 -0.587 -3.407 -2.218 -3.978 -1.976 4.087" Properties=species:S:1:pos:R:3 pbc="T T T"
Al -4.939 -2.409 1.204
Ho -0.307 -0.047 0.153
La -3.771 -0.860 -1.485
Ge -3.185 -0.483 1.585
```

Output
As for the space group: Amm2, No. 38. The volume comes out at 104 Å³ per cell.

=====

DFT (PBE) results for crystalline HoMg2AlGe2 at its relaxed geometry.

```
12
Lattice="4.132 0.000 0.000 0.000 6.950 0.000 0.000 0.000 8.538" Properties=species:S:1:pos:R:3 pbc="T T T"
Mg 2.066 0.294 0.646
Mg 0.000 6.013 6.970
Mg 2.066 3.769 7.892
Mg 0.000 2.538 1.568
Al 2.066 1.039 5.878
Al 2.066 4.514 2.661
Ge 2.066 1.883 3.283
Ge 2.066 5.357 5.255
Ge 0.000 1.745 7.470
Ge 0.000 5.220 1.068
Ho 0.000 6.719 3.569
Ho 0.000 3.244 4.969
```

Output
As for the space group: Pmc2_1, No. 26. The volume comes out at 245 Å³ per cell.

=====

DFT (PBE) results for crystalline Na2HoAlGe2 at its relaxed geometry.

```
12
Lattice="4.295 0.000 0.000 0.000 7.206 0.000 0.000 0.000 8.758" Properties=species:S:1:pos:R:3 pbc="T T T"
Ge 0.000 1.789 7.192
Ge 2.147 2.021 3.421
Ge 2.147 5.624 5.337
Ge 0.000 5.392 1.566
Na 0.000 6.083 7.353
Na 2.147 3.808 8.040
Na 0.000 2.480 1.405
Na 2.147 0.205 0.718
Ho 0.000 7.131 3.891
Ho 0.000 3.528 4.867
Al 2.147 4.718 2.835
Al 2.147 1.115 5.923
```

Output
As for the space group: Pmc2_1, No. 26. The volume comes out at 271 Å³ per cell.

=====

DFT (PBE) results for crystalline Ho3AlNi9Ge2 at its relaxed geometry.

```
15
Lattice="5.925 0.000 0.000 -2.963 5.132 0.000 0.000 0.000 8.588" Properties=species:S:1:pos:R:3 pbc="T T T"
Al 0.000 0.000 4.294
Ni -1.779 4.448 2.380
Ni 0.000 1.367 2.380
Ni 2.963 3.765 6.207
Ni 4.742 0.683 6.207
Ni 1.481 2.566 0.000
Ni 2.963 0.000 0.000
Ni 1.779 4.448 2.380
Ni 1.184 0.683 6.207
Ni -1.481 2.566 0.000
Ho 2.963 1.711 2.519
Ho 0.000 3.421 6.069
Ho 0.000 0.000 0.000
Ge 0.000 3.421 1.582
Ge 2.963 1.711 7.006
```

Output
As for the space group: P-3m1, No. 164. The volume comes out at 261 Å³ per cell.

=====

DFT (PBE) results for crystalline HoAl2Ni4Ge at its relaxed geometry.

```
8
Lattice="4.060 0.000 0.000 2.030 3.516 0.000 2.030 1.172 8.179" Properties=species:S:1:pos:R:3 pbc="T T T"
Ni 4.060 2.344 6.421
Ni 4.060 2.344 1.758
Ni 6.090 3.516 3.281
Ni 2.030 1.172 4.898
Ho 0.000 0.000 0.000
Al 6.090 3.516 5.981
Al 2.030 1.172 2.198
Ge 4.060 2.344 4.090
```

Output
As for the space group: R-3m, No. 166. The volume comes out at 117 Å³ per cell.

=====

DFT (PBE) results for crystalline HoAlNi4Ge2 at its relaxed geometry.

```
8
Lattice="-3.691 1.644 0.180 -3.277 -2.360 -0.215 -2.282 -1.035 8.100" Properties=species:S:1:pos:R:3 pbc="T T T"
Ge -2.312 -0.445 2.087
Ge -6.938 -1.307 5.977
Ho 0.000 0.000 0.000
Al -4.625 -0.876 4.032
Ni -4.637 -0.650 1.727
Ni -4.614 -1.102 6.337
Ni -6.952 -1.039 3.251
Ni -2.299 -0.713 4.813
```

Output
As for the space group: R-3m, No. 166. The volume comes out at 115 Å³ per cell.

=====

| no. | E_form (eV per formula unit) | VASP energy (eV/f.u.) | DOS at the Fermi energy (states/eV/cell) |
| --- | --- | --- | --- |
| 1 | -1.1 | -30.8 | 1.31 |
| 2 | -1.7 | -28.4 | 13.25 |
| 3 | -4.8 | -45.3 | 13.82 |
| 4 | -1.8 | -19.4 | 1.94 |
| 5 | -3.1 | -33.8 | 5.58 |
| 6 | -2.6 | -24.2 | 1.94 |
| 7 | -2.6 | -20.5 | 2.95 |
| 8 | -2.3 | -23.0 | 5.28 |
| 9 | -2.4 | -22.6 | 0.82 |
| 10 | -3.2 | -82.0 | 7.21 |
| 11 | -3.9 | -43.7 | 4.50 |
| 12 | -4.0 | -44.7 | 4.96 |